1.
# RbRe2BiAs

A relaxed RbRe2BiAs crystal (PBE, Alexandria).

The structure in POSCAR format:
```
RbRe2BiAs
1.0
5.1542 0.0000 0.0000
0.0000 5.1542 0.0000
0.0000 0.0000 6.3404
Rb Re Bi As
1 2 1 1
Cartesian
0.0000 0.0000 0.0000
0.0000 2.5771 3.1702
2.5771 0.0000 3.1702
0.0000 0.0000 3.1702
2.5771 2.5771 0.0000
```

Summary:
- DFT total energy (eV per atom) = -4.477
- symmetry = No. 123


2.
# Ba2AsRhAu

A relaxed Ba2AsRhAu crystal (PBE, Alexandria).

The structure in POSCAR format:
```
Ba2AsRhAu
1.0
6.0903 0.0000 0.0000
0.0000 6.0903 0.0000
0.0000 0.0000 4.6271
Ba As Rh Au
2 1 1 1
Cartesian
0.0000 3.0452 0.0000
3.0452 0.0000 0.0000
0.0000 0.0000 2.3136
0.0000 0.0000 0.0000
3.0452 3.0452 2.3136
```

Summary:
- DFT total energy (eV per atom) = -4.408
- symmetry = No. 123